# 1
Ba2LaPb2: optimized geometry, PBE.

```
Ba2LaPb2
1.0
9.781 0.000 0.000
0.000 9.781 0.000
0.000 0.000 4.289
Pb Ba La
4 4 2
Direct
0.327 0.827 0.000
0.827 0.673 0.000
0.673 0.173 0.000
0.173 0.327 0.000
0.131 0.631 0.500
0.631 0.869 0.500
0.869 0.369 0.500
0.369 0.131 0.500
0.000 0.000 0.000
0.500 0.500 0.000
```

## Properties
The calculation puts the polymorph energy (0 for the lowest one) at 0 meV per atom.

# 2
BaLaPb4: optimized geometry, PBE.

```
BaLaPb4
1.0
0.000 4.691 4.691
4.691 0.000 4.691
4.691 4.691 0.000
Ba La Pb
1 1 4
Direct
0.750 0.750 0.750
0.000 0.000 0.000
0.879 0.374 0.374
0.374 0.374 0.879
0.374 0.879 0.374
0.374 0.374 0.374
```

# 3
Ba2LaPb2: optimized geometry, PBE.

```
Ba2LaPb2
1.0
10.201 0.000 0.000
0.000 10.201 0.000
0.000 0.000 3.773
Pb Ba La
4 4 2
Direct
0.178 0.678 0.500
0.678 0.822 0.500
0.822 0.322 0.500
0.322 0.178 0.500
0.379 0.879 0.000
0.879 0.621 0.000
0.621 0.121 0.000
0.121 0.379 0.000
0.000 0.000 0.000
0.500 0.500 0.000
```

## Properties
The calculation puts the polymorph energy (0 for the lowest one) at 123 meV per atom.

# 4
Ba2La2Pb: optimized geometry, PBE.

```
Ba2La2Pb
1.0
9.000 0.000 0.000
0.000 9.000 0.000
0.000 0.000 5.048
Pb Ba La
2 4 4
Direct
0.000 0.000 0.000
0.500 0.500 0.000
0.358 0.858 0.000
0.858 0.642 0.000
0.642 0.142 0.000
0.142 0.358 0.000
0.165 0.665 0.500
0.665 0.835 0.500
0.835 0.335 0.500
0.335 0.165 0.500
```

## Properties
The calculation puts the polymorph energy (0 for the lowest one) at 230 meV per atom.

# 5
BaLa5Pb3: optimized geometry, PBE.

```
BaLa5Pb3
1.0
-4.852 -2.478 4.515
-7.309 3.091 -6.159
3.814 -9.243 -0.973
Ba La Pb
2 10 6
Direct
0.000 0.000 0.000
0.500 0.000 0.000
0.000 0.667 0.333
0.500 0.333 0.667
0.000 0.333 0.667
0.500 0.667 0.333
0.750 0.662 0.662
0.750 0.000 0.338
0.750 0.338 0.000
0.250 0.338 0.338
0.250 0.000 0.662
0.250 0.662 0.000
0.750 0.337 0.337
0.750 0.000 0.663
0.750 0.663 0.000
0.250 0.663 0.663
0.250 0.000 0.337
0.250 0.337 0.000
```

# 6
Ba2La2Pb: optimized geometry, PBE.

```
Ba2La2Pb
1.0
-0.224 4.394 -0.007
-3.732 -0.186 2.324
4.228 2.437 11.149
Pb Ba La
1 2 2
Direct
0.000 0.000 0.000
0.410 0.410 0.179
0.590 0.590 0.821
0.750 0.250 0.500
0.250 0.750 0.500
```

## Properties
The calculation puts the polymorph energy (0 for the lowest one) at 139 meV per atom.

| no. | DOS(E_F) (states/eV/f.u.) | total moment (Bohr magnetons per cell) | energy relative to the elements (eV per atom) |
| --- | --- | --- | --- |
| 1 | 3.05 | 0.000 | -0.385 |
| 2 | 5.50 | 0.000 | -0.344 |
| 3 | 3.96 | 0.000 | -0.263 |
| 4 | 9.40 | 0.000 | 0.186 |
| 5 | 9.71 | 5.866 | -0.455 |
| 6 | 7.20 | 0.000 | 0.095 |